# 1
Here is an optimized crystal structure of NaPrTeS from Alexandria. Energies are from GGA-PBE.

a b c (Å): 7.607 7.607 7.607
angles (deg): 33.29 33.29 33.29
Atoms (fractional coordinates):
1 Na 0.000 0.000 0.000
2 Pr 0.516 0.516 0.516
3 Te 0.758 0.758 0.758
4 S 0.249 0.249 0.249

Output
* uncorrected formation energy: -1.53 eV/atom



# 2
Here is an optimized crystal structure of Sm6Ho2Sc from Alexandria. Energies are from GGA-PBE.

a b c (Å): 8.708 8.708 11.981
angles (deg): 124.00 124.00 23.13
Atoms (fractional coordinates):
1 Sm 0.049 0.049 0.253
2 Sm 0.222 0.222 0.608
3 Sm 0.383 0.383 0.941
4 Sm 0.617 0.617 0.059
5 Sm 0.778 0.778 0.392
6 Sm 0.951 0.951 0.747
7 Ho 0.335 0.335 0.185
8 Ho 0.665 0.665 0.815
9 Sc 0.000 0.000 0.500

Output
* energy above the most stable polymorph in this dataset: 0.0 kJ/mol of atoms
* formation enthalpy at 0 K: 0.12 eV/atom



# 3
Here is an optimized crystal structure of CeMgCo2Ge2 from Alexandria. Energies are from GGA-PBE.

a b c (Å): 4.143 4.143 6.757
angles (deg): 90.00 90.00 120.00
Atoms (fractional coordinates):
1 Ce 0.000 0.000 0.000
2 Mg 0.000 0.000 0.500
3 Co 0.333 0.667 0.641
4 Co 0.667 0.333 0.359
5 Ge 0.333 0.667 0.277
6 Ge 0.667 0.333 0.723

Output
* formation enthalpy at 0 K: -0.46 eV/atom



# 4
Here is an optimized crystal structure of LiSmFeC from Alexandria. Energies are from GGA-PBE.

a b c (Å): 3.444 3.444 10.800
angles (deg): 90.00 90.00 90.00
Atoms (fractional coordinates):
1 Li 0.250 0.750 0.000
2 Li 0.750 0.250 0.000
3 Sm 0.250 0.250 0.281
4 Sm 0.750 0.750 0.719
5 Fe 0.250 0.750 0.500
6 Fe 0.750 0.250 0.500
7 C 0.250 0.250 0.591
8 C 0.750 0.750 0.409

Output
* formation enthalpy at 0 K: -0.07 eV/atom



# 5
Here is an optimized crystal structure of Pr2EuBi from Alexandria. Energies are from GGA-PBE.

a b c (Å): 4.343 4.343 7.230
angles (deg): 90.00 90.00 90.00
Atoms (fractional coordinates):
1 Pr 0.000 0.000 0.229
2 Pr 0.000 0.000 0.771
3 Eu 0.500 0.500 0.500
4 Bi 0.500 0.500 0.000

Output
* energy above the most stable polymorph in this dataset: 4.2 kJ/mol of atoms
* formation enthalpy at 0 K: -0.38 eV/atom



# 6
Here is an optimized crystal structure of SrPrGa2Pd5 from Alexandria. Energies are from GGA-PBE.

a b c (Å): 4.375 4.375 9.192
angles (deg): 90.00 90.00 90.00
Atoms (fractional coordinates):
1 Sr 0.000 0.000 0.000
2 Pr 0.000 0.000 0.500
3 Ga 0.500 0.500 0.360
4 Ga 0.500 0.500 0.640
5 Pd 0.000 0.500 0.232
6 Pd 0.000 0.500 0.768
7 Pd 0.500 0.000 0.232
8 Pd 0.500 0.000 0.768
9 Pd 0.500 0.500 0.000

Output
* formation enthalpy at 0 K: -0.65 eV/atom



# 7
Here is an optimized crystal structure of MgCu2O from Alexandria. Energies are from GGA-PBE.

a b c (Å): 6.492 6.492 6.492
angles (deg): 133.50 133.50 67.87
Atoms (fractional coordinates):
1 Mg 0.000 0.000 0.000
2 Mg 0.750 0.250 0.500
3 Cu 0.339 0.625 0.214
4 Cu 0.375 0.589 0.714
5 Cu 0.411 0.125 0.786
6 Cu 0.875 0.661 0.286
7 O 0.250 0.750 0.500
8 O 0.500 0.500 0.000

Output
* energy above the most stable polymorph in this dataset: 0.0 kJ/mol of atoms
* uncorrected formation energy: -0.15 eV/atom



# 8
Here is an optimized crystal structure of ZnRuS2Cl from Alexandria. Energies are from GGA-PBE.

a b c (Å): 4.645 4.645 4.823
angles (deg): 90.00 90.00 90.00
Atoms (fractional coordinates):
1 Zn 0.000 0.000 0.000
2 Ru 0.500 0.500 0.500
3 S 0.000 0.500 0.000
4 S 0.500 0.000 0.000
5 Cl 0.000 0.000 0.500

Output
* energy above the most stable polymorph in this dataset: 54.8 kJ/mol of atoms
* uncorrected formation energy: 0.79 eV/atom



# 9
Here is an optimized crystal structure of Ho2PPt6 from Alexandria. Energies are from GGA-PBE.

a b c (Å): 5.611 5.611 6.012
angles (deg): 101.68 101.68 60.16
Atoms (fractional coordinates):
1 Ho 0.143 0.143 0.352
2 Ho 0.857 0.857 0.648
3 P 0.500 0.500 0.500
4 Pt 0.115 0.623 0.196
5 Pt 0.373 0.373 0.788
6 Pt 0.377 0.885 0.804
7 Pt 0.623 0.115 0.196
8 Pt 0.627 0.627 0.212
9 Pt 0.885 0.377 0.804

Output
* formation enthalpy at 0 K: -1.00 eV/atom



# 10
Here is an optimized crystal structure of LiCo3Bi from Alexandria. Energies are from GGA-PBE.

a b c (Å): 4.132 4.132 4.132
angles (deg): 90.00 90.00 90.00
Atoms (fractional coordinates):
1 Li 0.000 0.000 0.000
2 Co 0.000 0.000 0.500
3 Co 0.000 0.500 0.000
4 Co 0.500 0.000 0.000
5 Bi 0.500 0.500 0.500

Output
* energy above the most stable polymorph in this dataset: 0.0 kJ/mol of atoms
* formation enthalpy at 0 K: 0.86 eV/atom



# 11
Here is an optimized crystal structure of Ba6NaIn5 from Alexandria. Energies are from GGA-PBE.

a b c (Å): 6.048 8.748 9.561
angles (deg): 90.00 108.12 90.00
Atoms (fractional coordinates):
1 Ba 0.000 0.238 0.000
2 Ba 0.000 0.762 0.000
3 Ba 0.329 0.244 0.658
4 Ba 0.329 0.756 0.658
5 Ba 0.671 0.244 0.342
6 Ba 0.671 0.756 0.342
7 Na 0.500 0.500 0.000
8 In 0.163 0.000 0.327
9 In 0.165 0.500 0.333
10 In 0.500 0.000 0.000
11 In 0.835 0.500 0.667
12 In 0.837 0.000 0.673

Output
* formation enthalpy at 0 K: -0.34 eV/atom



# 12
Here is an optimized crystal structure of HoNp4S5 from Alexandria. Energies are from GGA-PBE.

a b c (Å): 14.052 14.052 14.052
angles (deg): 164.04 164.04 22.65
Atoms (fractional coordinates):
1 Ho 0.000 0.000 0.000
2 Np 0.200 0.200 0.000
3 Np 0.400 0.400 0.000
4 Np 0.600 0.600 0.000
5 Np 0.800 0.800 0.000
6 S 0.100 0.100 0.000
7 S 0.300 0.300 0.000
8 S 0.500 0.500 0.000
9 S 0.700 0.700 0.000
10 S 0.900 0.900 0.000

Output
* uncorrected formation energy: -1.49 eV/atom



Q: Number 11 is which compound?
A: Ba6NaIn5